# 1
Below is a relaxed structure of K3Np2MnTe6, with properties calculated at the PBE level.

It has space group C2/m (No. 12), with a = 7.722 Å, b = 13.384 Å, c = 8.570 Å, α = 90.00°, β = 107.54° and γ = 90.00°. Symmetry generates all atoms from K at (0.000, 0.000, 0.000), K at (0.000, 0.330, 0.000), Np at (0.000, 0.166, 0.500), Mn at (0.000, 0.500, 0.500), Te at (0.227, 0.340, 0.701) and Te at (0.247, 0.000, 0.703).

For the magnetic moment, the calculation gives 24.00 Bohr magnetons per cell.

---

# 2
Below is a relaxed structure of K3Np3MnTe8, with properties calculated at the PBE level.

It has space group C2/m (No. 12), with a = 15.254 Å, b = 8.850 Å, c = 9.793 Å, α = 90.00°, β = 121.12° and γ = 90.00°. Symmetry generates all atoms from K at (0.000, 0.000, 0.000), K at (0.250, 0.250, 0.000), Np at (0.000, 0.500, 0.500), Np at (0.250, 0.250, 0.500), Mn at (0.000, 0.000, 0.500), Te at (0.015, 0.240, 0.304), Te at (0.222, 0.000, 0.694) and Te at (0.237, 0.500, 0.712).

For the magnetic moment, the calculation gives 30.00 Bohr magnetons per cell.

---

Computed V (A^3/atom) in order:
35.19, 37.73
Computed energy relative to the elements, uncorrected (eV/atom) in order:
-0.764, -0.733
Computed electronic total energy (eV/cell) in order:
-132.7, -174.8